The following is a DFT calculation (PBE) of CsRb12Hg4 after structural relaxation.

For the energy of formation from the pure elements, the calculation gives -0.0735 eV/atom. As for the total energy: -0.88 eV/atom. As for the total magnetization: 0.0000 μB per atom.

The space group is Im-3 (No. 204) and the conventional cell measures 13.5527, 13.5527 and 13.5527 Å, with angles of 90.00, 90.00 and 90.00 degrees. The asymmetric unit holds Cs at (0.0000, 0.0000, 0.0000), Rb at (0.0000, 0.3251, 0.1774) and Hg at (0.2500, 0.2500, 0.2500).



The following is a DFT calculation (PBE) of Pm2HoFe9 after structural relaxation.

For the energy of formation from the pure elements, the calculation gives -0.0112 eV/atom. As for the total energy: -7.53 eV/atom. As for the total magnetization: 1.5795 μB per atom.

The space group is R-3m (No. 166, hexagonal axes) and the conventional cell measures 5.1344, 5.1344 and 24.7052 Å, with angles of 90.00, 90.00 and 120.00 degrees. The asymmetric unit holds Pm at (0.0000, 0.0000, 0.1414), Ho at (0.0000, 0.0000, 0.0000), Fe at (0.0000, 0.0000, 0.3328), Fe at (0.0000, 0.0000, 0.5000) and Fe at (0.0030, 0.5015, 0.0795).



The following is a DFT calculation (PBE) of Pr2PaTcN5 after structural relaxation.

The value obtained for the formation energy from raw total energies is -1105 meV/atom. As for the total energy: -9.00 eV/atom. As for the total magnetization: 0.0000 μB per atom.

The space group is P4/mmm (No. 123) and the conventional cell measures 3.8702, 3.8702 and 8.6834 Å, with angles of 90.00, 90.00 and 90.00 degrees. The asymmetric unit holds Pr at (0.0000, 0.0000, 0.2059), Pa at (0.5000, 0.5000, 0.5000), Tc at (0.5000, 0.5000, 0.0000), N at (0.0000, 0.0000, 0.5000), N at (0.0000, 0.5000, 0.0000) and N at (0.5000, 0.5000, 0.2608).